Entry 1:
AcSiAu (PBE-GGA, relaxed); offset from the most stable computed form = 0.314 eV per atom; crystal system = cubic; space group = F-43m
1.0
0.000 3.482 3.482
3.482 0.000 3.482
3.482 3.482 0.000
Ac Si Au
1 1 1
Cartesian
0.000 0.000 0.000 Ac
3.482 3.482 3.482 Si
1.741 1.741 1.741 Au

=====

Entry 2:
Ac2Si3Au (PBE-GGA, relaxed); crystal system = orthorhombic; space group = Fmmm
1.0
0.000 4.692 7.327
4.239 0.000 7.327
4.239 4.692 0.000
Ac Si Au
4 6 2
Cartesian
4.239 2.294 7.327 Ac
2.119 2.346 3.664 Ac
6.358 7.037 10.991 Ac
4.239 7.090 7.327 Ac
4.239 4.692 2.397 Si
6.397 4.692 6.129 Si
6.397 4.692 8.526 Si
2.080 4.692 6.129 Si
2.080 4.692 8.526 Si
4.239 4.692 12.258 Si
4.239 4.692 4.892 Au
4.239 4.692 9.762 Au

=====

Entry 3:
AcSiAu (PBE-GGA, relaxed); offset from the most stable computed form = 0.354 eV per atom; crystal system = cubic; space group = F-43m
1.0
0.000 3.459 3.459
3.459 0.000 3.459
3.459 3.459 0.000
Ac Si Au
1 1 1
Cartesian
0.000 0.000 0.000 Ac
1.730 1.730 1.730 Si
3.459 3.459 3.459 Au

=====

Entry 4:
AcSiAu (PBE-GGA, relaxed); offset from the most stable computed form = 0.000 eV per atom; crystal system = hexagonal; space group = P-6m2
1.0
4.432 0.000 0.000
-2.216 3.838 0.000
0.000 0.000 4.477
Ac Si Au
1 1 1
Cartesian
0.000 0.000 0.000 Ac
0.000 2.559 2.239 Si
2.216 1.279 2.239 Au

=====

Entry 5:
AcSnAu (PBE-GGA, relaxed); offset from the most stable computed form = 0.000 eV per atom; crystal system = cubic; space group = F-43m
1.0
0.000 3.593 3.593
3.593 0.000 3.593
3.593 3.593 0.000
Ac Sn Au
1 1 1
Cartesian
0.000 0.000 0.000 Ac
3.593 3.593 3.593 Sn
1.797 1.797 1.797 Au

=====

Entry 6:
AcSnAu (PBE-GGA, relaxed); offset from the most stable computed form = 0.608 eV per atom; crystal system = cubic; space group = F-43m
1.0
0.000 3.754 3.754
3.754 0.000 3.754
3.754 3.754 0.000
Ac Sn Au
1 1 1
Cartesian
0.000 0.000 0.000 Ac
1.877 1.877 1.877 Sn
5.631 5.631 5.631 Au

=====

Entry 7:
AcTaAu (PBE-GGA, relaxed); offset from the most stable computed form = 0.000 eV per atom; crystal system = cubic; space group = F-43m; energy of formation = 778 meV per atom
1.0
0.000 3.417 3.417
3.417 0.000 3.417
3.417 3.417 0.000
Ac Ta Au
1 1 1
Cartesian
0.000 0.000 0.000 Ac
5.126 5.126 5.126 Ta
3.417 3.417 3.417 Au

=====

Entry 8:
AcTaAu (PBE-GGA, relaxed); offset from the most stable computed form = 0.494 eV per atom; crystal system = cubic; space group = F-43m; energy of formation = 1272 meV per atom
1.0
0.000 3.564 3.564
3.564 0.000 3.564
3.564 3.564 0.000
Ac Ta Au
1 1 1
Cartesian
0.000 0.000 0.000 Ac
1.782 1.782 1.782 Ta
5.346 5.346 5.346 Au

=====

| no. | E_tot (eV for the cell shown) |
| --- | --- |
| 1 | -14.2 |
| 2 | -64.5 |
| 3 | -14.1 |
| 4 | -15.2 |
| 5 | -13.8 |
| 6 | -11.9 |
| 7 | -16.9 |
| 8 | -15.4 |